Computed, not measured: Ac8Pm3Nd after structural relaxation at the GGA-PBE level of DFT.

a = 9.352 Å, b = 9.352 Å, c = 9.352 Å
α = 133.78°, β = 103.04°, γ = 94.73°
Element x y z (fractional)
1 Ac 0.089 0.250 0.839
2 Ac 0.250 0.249 0.499
3 Ac 0.250 0.751 0.001
4 Ac 0.411 0.250 0.161
5 Ac 0.589 0.750 0.839
6 Ac 0.750 0.249 0.999
7 Ac 0.750 0.751 0.501
8 Ac 0.911 0.750 0.161
9 Pm 0.000 0.000 0.000
10 Pm 0.253 0.753 0.500
11 Pm 0.747 0.247 0.500
12 Nd 0.500 0.500 0.000

Values from the calculation:
As for the size of the total moment: 0.00 Bohr magnetons per cell. The calculation puts the uncorrected energy at -47.57 eV/cell. The value obtained for the formation energy is 0.36 eV per atom. For the density of states at the Fermi level, the calculation gives 18.94 states/eV/cell.